(1)
First-principles (PBE-GGA) data for a geometry-optimized Nd2HoN3 structure, as listed in Alexandria.

Output
The value obtained for the formation energy without anion corrections is -1.455 eV/atom. The calculation puts the final energy at -7.970 eV per atom. The value obtained for the density of states at the Fermi level is 0.43 states/eV per cell. Its symmetry is I4/mmm (139).

POSCAR file:
```
Nd2HoN3
1.0
-1.7964 1.7964 7.6207
1.7964 -1.7964 7.6207
1.7964 1.7964 -7.6207
Ho Nd N
1 2 3
Direct
0.0000 0.0000 0.0000
0.3367 0.3367 0.0000
0.6633 0.6633 0.0000
0.1600 0.1600 0.0000
0.8400 0.8400 0.0000
0.5000 0.5000 0.0000
```

(2)
First-principles (PBE-GGA) data for a geometry-optimized InGaAs2P structure, as listed in Alexandria.

Output
The value obtained for the formation energy is 0.95 eV per atom. The calculation puts the final energy at -3.140 eV per atom. The value obtained for the density of states at the Fermi level is 5.90 states/eV per cell. Its symmetry is P4/mmm (123).

POSCAR file:
```
InGaAs2P
1.0
-0.0786 -1.9682 -5.0712
-1.6472 -4.5370 1.7864
-5.1536 1.6503 -0.5606
As P Ga In
2 1 1 1
Direct
0.5000 0.0000 0.0000
0.0000 0.0000 0.5000
0.0000 0.5000 0.0000
0.5000 0.5000 0.5000
0.0000 0.0000 0.0000
```